# TmZnSi2Pt2

TmZnSi2Pt2 after structural relaxation (PBE, Alexandria via LeMat-Bulk).

Cell lengths 4.2067, 4.2067, 6.6037 Å; angles 90.00, 90.00, 120.00 degrees
Space group P-3m1 (No. 164)
Asymmetric unit:
1 Tm 0.0000 0.0000 0.0000 [1 per cell]
2 Zn 0.0000 0.0000 0.5000 [1 per cell]
3 Si 0.3333 0.6667 0.7184 [2 per cell]
4 Pt 0.3333 0.6667 0.3020 [2 per cell]

Properties
* total magnetic moment: 0.00 μB per formula unit
* E_form (uncorrected): -0.80 eV per atom
* theoretical density: 11.168 g/cm3
* D(E_F): 2.62 states/eV per cell

=====

# U2Si12Pt7

U2Si12Pt7 after structural relaxation (PBE, Alexandria via LeMat-Bulk).

Cell lengths 10.0064, 10.0064, 4.0081 Å; angles 90.00, 90.00, 120.00 degrees
Space group P-3 (No. 147)
Asymmetric unit:
1 U 0.3333 0.6667 0.2779 [2 per cell]
2 Si 0.0780 0.6345 0.7164 [6 per cell]
3 Si 0.1259 0.8599 0.2841 [6 per cell]
4 Pt 0.0000 0.0000 0.5000 [1 per cell]
5 Pt 0.0966 0.4002 0.8127 [6 per cell]

Properties
* total magnetic moment: 5.21 μB per formula unit
* E_form (uncorrected): -0.44 eV per atom
* theoretical density: 10.409 g/cm3
* D(E_F): 14.54 states/eV per cell

=====

# U2Si5Pt3

U2Si5Pt3 after structural relaxation (PBE, Alexandria via LeMat-Bulk).

Cell lengths 9.9787, 11.3673, 6.0846 Å; angles 90.00, 90.00, 90.00 degrees
Space group Ibam (No. 72)
Asymmetric unit:
1 U 0.2305 0.1311 0.0000 [8 per cell]
2 Si 0.0000 0.0000 0.2500 [4 per cell]
3 Si 0.0000 0.2740 0.2500 [8 per cell]
4 Si 0.1520 0.3879 0.0000 [8 per cell]
5 Pt 0.0000 0.5000 0.2500 [4 per cell]
6 Pt 0.1097 0.1378 0.5000 [8 per cell]

Properties
* total magnetic moment: 5.03 μB per formula unit
* E_form (uncorrected): -0.66 eV per atom
* theoretical density: 11.565 g/cm3
* D(E_F): 58.91 states/eV per cell

=====

# USiPt3

USiPt3 after structural relaxation (PBE, Alexandria via LeMat-Bulk).

Cell lengths 11.4040, 6.3519, 10.3381 Å; angles 90.00, 101.66, 90.00 degrees
Space group C2/c (No. 15)
Asymmetric unit:
1 U 0.1085 0.1468 0.1011 [8 per cell]
2 Si 0.0000 0.2159 0.7500 [4 per cell]
3 Si 0.2500 0.2500 0.5000 [4 per cell]
4 Pt 0.0787 0.3587 0.5722 [8 per cell]
5 Pt 0.1324 0.4509 0.3196 [8 per cell]
6 Pt 0.1893 0.0567 0.8560 [8 per cell]

Properties
* energy above the lowest structure with this stoichiometry: 0.1837 eV per atom
* total magnetic moment: 2.01 μB per formula unit
* E_form (uncorrected): -0.61 eV per atom
* theoretical density: 15.421 g/cm3
* D(E_F): 60.03 states/eV per cell